# KMnRe2 (PBE, optimized geometry)
# Volume: 16.8 Å³ per atom
# E above lowest polymorph: 28 meV/atom
# Total moment: 0.209 μB/atom
# Calculated formation energy: 0.793 eV per atom
data_KMnRe2
_space_group_name_H-M_alt 'P 1'
_space_group_IT_number 1
_space_group_name_Hall 'P 1'
_cell_length_a 10.3156
_cell_length_b 10.3156
_cell_length_c 10.3156
_cell_angle_alpha 15.39
_cell_angle_beta 15.39
_cell_angle_gamma 15.39
loop_
_atom_site_label
_atom_site_fract_x
_atom_site_fract_y
_atom_site_fract_z
K1 0.0000 0.0000 0.0000
Mn1 0.5000 0.5000 0.5000
Re1 0.2328 0.2328 0.2328
Re2 0.7672 0.7672 0.7672

# ReNiBr2 (PBE, optimized geometry)
# Volume: 18.1 Å³ per atom
# Formation energy (no corrections): 1.03 eV per atom
# E above lowest polymorph: 703 meV/atom
# Total moment: 0.242 μB/atom
data_ReNiBr2
_space_group_name_H-M_alt 'P 1'
_space_group_IT_number 1
_space_group_name_Hall 'P 1'
_cell_length_a 3.2556
_cell_length_b 3.2556
_cell_length_c 8.2756
_cell_angle_alpha 90.00
_cell_angle_beta 90.00
_cell_angle_gamma 124.43
loop_
_atom_site_label
_atom_site_fract_x
_atom_site_fract_y
_atom_site_fract_z
Re1 0.0000 0.0000 0.0000
Ni1 0.0000 0.0000 0.5000
Br1 0.5000 0.5000 0.2564
Br2 0.5000 0.5000 0.7436

# MnTl2SbP (PBE, optimized geometry)
# Volume: 32.4 Å³ per atom
# Formation energy (no corrections): 1.29 eV per atom
# Total moment: 0.050 μB/atom
data_MnTl2SbP
_space_group_name_H-M_alt 'P 1'
_space_group_IT_number 1
_space_group_name_Hall 'P 1'
_cell_length_a 5.8129
_cell_length_b 5.8129
_cell_length_c 4.7984
_cell_angle_alpha 90.00
_cell_angle_beta 90.00
_cell_angle_gamma 90.00
loop_
_atom_site_label
_atom_site_fract_x
_atom_site_fract_y
_atom_site_fract_z
Mn1 0.0000 0.0000 0.0000
Tl1 0.0000 0.5000 0.5000
Tl2 0.5000 0.0000 0.5000
Sb1 0.0000 0.0000 0.5000
P1 0.5000 0.5000 0.0000

# Dy8Y2Pu (PBE, optimized geometry)
# Volume: 32.2 Å³ per atom
# Total moment: 0.700 μB/atom
# Calculated formation energy: 0.167 eV per atom
data_Dy8Y2Pu
_space_group_name_H-M_alt 'P 1'
_space_group_IT_number 1
_space_group_name_Hall 'P 1'
_cell_length_a 6.4935
_cell_length_b 6.4935
_cell_length_c 10.8177
_cell_angle_alpha 115.46
_cell_angle_beta 115.46
_cell_angle_gamma 64.31
loop_
_atom_site_label
_atom_site_fract_x
_atom_site_fract_y
_atom_site_fract_z
Dy1 0.2354 0.7407 0.7316
Dy2 0.2593 0.7646 0.2684
Dy3 0.3173 0.3173 0.9443
Dy4 0.3201 0.3201 0.3747
Dy5 0.6799 0.6799 0.6253
Dy6 0.6827 0.6827 0.0557
Dy7 0.7407 0.2354 0.7316
Dy8 0.7646 0.2593 0.2684
Y1 0.1757 0.1757 0.5853
Y2 0.8243 0.8243 0.4147
Pu1 0.0000 0.0000 0.0000

Calculated DOS at the Fermi energy (states/eV per cell), listed in the same order as above: 4.53; 5.19; 7.12; 19.12